Density functional theory data (PBEsol) for CdReMo2 after structural relaxation.

Properties
E_form (eV per atom): 0.565
Raw total energy (eV per cell): -35.80
Density of states at the Fermi level (states/eV/f.u.): 2.9

Cell: 4.4768 4.4768 4.4768 Å, 60.00 60.00 60.00°
With the nearest neighbours (Å) after each atom.
Sites, in units of the cell vectors:
Cd 0.5000 0.5000 0.5000  4 Mo 2.74, 4 Re 2.74
Mo 0.0000 0.0000 0.0000  4 Mo 2.74, 4 Re 2.74
Mo 0.7500 0.7500 0.7500  4 Cd 2.74, 4 Mo 2.74
Re 0.2500 0.2500 0.2500  4 Cd 2.74, 4 Mo 2.74



Density functional theory data (PBEsol) for Cd2ReMo after structural relaxation.

Properties
Energy relative to the lowest polymorph listed for this composition (meV/atom): 228
E_form (eV per atom): 0.519
Raw total energy (eV per cell): -25.42
Density of states at the Fermi level (states/eV/f.u.): 2.3

Cell: 3.2125 4.7857 5.3743 Å, 116.44 107.39 90.00°
With the nearest neighbours (Å) after each atom.
Sites, in units of the cell vectors:
Cd 0.9921 0.9921 0.9842  6 Cd 2.89-3.21, 4 Mo 2.90, 4 Re 2.90-3.20
Cd 0.7563 0.2563 0.5126  6 Cd 2.89-3.21, 4 Re 2.89, 4 Mo 2.92-3.18
Mo 0.5254 0.5254 0.0508  2 Re 2.43
Re 0.2262 0.7262 0.4525  2 Mo 2.43



Density functional theory data (PBEsol) for CdRe2Mo after structural relaxation.

Properties
E_form (eV per atom): 0.600
Raw total energy (eV per cell): -37.23
Density of states at the Fermi level (states/eV/f.u.): 3.5

Cell: 4.4580 4.4580 4.4580 Å, 60.00 60.00 60.00°
With the nearest neighbours (Å) after each atom.
Sites, in units of the cell vectors:
Cd 0.5000 0.5000 0.5000  4 Mo 2.73, 4 Re 2.73
Mo 0.2500 0.2500 0.2500  4 Cd 2.73, 4 Re 2.73
Re 0.0000 0.0000 0.0000  4 Mo 2.73, 4 Re 2.73
Re 0.7500 0.7500 0.7500  4 Re 2.73, 4 Cd 2.73



Density functional theory data (PBEsol) for CdReMo after structural relaxation.

Properties
E_form (eV per atom): 0.364
Raw total energy (eV per cell): -25.20
Density of states at the Fermi level (states/eV/f.u.): 2.2

Cell: 2.7215 2.7215 7.2808 Å, 96.82 96.82 111.36°
With the nearest neighbours (Å) after each atom.
Sites, in units of the cell vectors:
Cd 0.9999 0.9999 0.9997  4 Cd 2.72, 2 Mo 2.94, 2 Re 2.94
Mo 0.3238 0.3238 0.6476  2 Re 2.60, 4 Mo 2.72
Re 0.6763 0.6763 0.3526  2 Mo 2.60, 4 Re 2.72



Density functional theory data (PBEsol) for TaCdReMo2 after structural relaxation.

Properties
E_form (eV per atom): 2.773
Raw total energy (eV per cell): -36.75
Density of states at the Fermi level (states/eV/f.u.): 7.7

Cell: 4.6802 4.6802 4.7185 Å, 90.00 90.00 90.00°
With the nearest neighbours (Å) after each atom.
Sites, in units of the cell vectors:
Re 0.0000 0.0000 0.5000  2 Cd 2.36
Mo 0.0000 0.5000 0.0000  2 Cd 2.34
Mo 0.5000 0.0000 0.0000  2 Cd 2.34
Cd 0.0000 0.0000 0.0000  4 Mo 2.34, 2 Re 2.36
Ta 0.5000 0.5000 0.5000  4 Re 3.31, 8 Mo 3.32



Density functional theory data (PBEsol) for CdMoRh2 after structural relaxation.

Properties
E_form (eV per atom): 0.147
Raw total energy (eV per cell): -28.66
Density of states at the Fermi level (states/eV/f.u.): 4.8

Cell: 2.8447 4.6196 4.6196 Å, 90.00 90.00 90.00°
With the nearest neighbours (Å) after each atom.
Sites, in units of the cell vectors:
Cd 0.5000 0.5000 0.5000  8 Rh 2.71, 2 Cd 2.84
Mo 0.5000 0.0000 0.0000  8 Rh 2.71, 2 Mo 2.84
Rh 0.0000 0.0000 0.5000  4 Cd 2.71, 4 Mo 2.71, 2 Rh 2.84
Rh 0.0000 0.5000 0.0000  4 Cd 2.71, 4 Mo 2.71, 2 Rh 2.84



Density functional theory data (PBEsol) for CdMo2Rh after structural relaxation.

Properties
E_form (eV per atom): 0.201
Raw total energy (eV per cell): -32.07
Density of states at the Fermi level (states/eV/f.u.): 3.0

Cell: 3.3562 4.1253 5.2074 Å, 113.34 108.80 90.00°
With the nearest neighbours (Å) after each atom.
Sites, in units of the cell vectors:
Cd 0.5000 0.0000 0.0000  4 Rh 2.66, 4 Mo 2.84
Mo 0.2562 0.2563 0.5123  4 Mo 2.66, 2 Rh 2.75, 2 Cd 2.84
Mo 0.7438 0.7437 0.4877  4 Mo 2.66, 2 Rh 2.75, 2 Cd 2.84
Rh 0.0000 0.5000 0.0000  4 Cd 2.66, 4 Mo 2.75



Density functional theory data (PBEsol) for CdMoRh2 after structural relaxation.

Properties
E_form (eV per atom): -0.184
Raw total energy (eV per cell): -29.98
Density of states at the Fermi level (states/eV/f.u.): 2.7

Cell: 2.8165 2.8165 7.6099 Å, 90.00 90.00 90.00°
With the nearest neighbours (Å) after each atom.
Sites, in units of the cell vectors:
Mo 0.5000 0.5000 0.5000  8 Rh 2.66, 4 Mo 2.82
Rh 0.0000 0.0000 0.7313  4 Mo 2.66, 4 Rh 2.82, 4 Cd 2.85
Rh 0.0000 0.0000 0.2687  4 Mo 2.66, 4 Rh 2.82, 4 Cd 2.85
Cd 0.5000 0.5000 0.0000  4 Cd 2.82, 8 Rh 2.85



Density functional theory data (PBEsol) for CdMo2Ru after structural relaxation.

Properties
E_form (eV per atom): 0.415
Raw total energy (eV per cell): -33.24
Density of states at the Fermi level (states/eV/f.u.): 3.9

Cell: 3.8613 3.8725 4.1155 Å, 90.00 90.00 90.00°
With the nearest neighbours (Å) after each atom.
Sites, in units of the cell vectors:
Cd 0.0000 0.5000 0.5000  4 Ru 2.73, 8 Mo 2.82-2.83
Mo 0.0000 0.0000 0.0000  4 Mo 2.73, 4 Ru 2.82, 4 Cd 2.83
Mo 0.5000 0.5000 0.0000  4 Mo 2.73, 4 Cd 2.82, 4 Ru 2.83
Ru 0.5000 0.0000 0.5000  4 Cd 2.73, 8 Mo 2.82-2.83



Density functional theory data (PBEsol) for CdMo2Ru after structural relaxation.

Properties
E_form (eV per atom): 0.458
Raw total energy (eV per cell): -33.07
Density of states at the Fermi level (states/eV/f.u.): 4.2

Cell: 4.4501 4.4501 4.4501 Å, 60.00 60.00 60.00°
With the nearest neighbours (Å) after each atom.
Sites, in units of the cell vectors:
Cd 0.5000 0.5000 0.5000  4 Mo 2.73, 4 Ru 2.73
Mo 0.0000 0.0000 0.0000  4 Ru 2.73, 4 Mo 2.73
Mo 0.7500 0.7500 0.7500  4 Mo 2.73, 4 Cd 2.73
Ru 0.2500 0.2500 0.2500  4 Cd 2.73, 4 Mo 2.73



Density functional theory data (PBEsol) for CdMo2Ru after structural relaxation.

Properties
E_form (eV per atom): 0.270
Raw total energy (eV per cell): -33.82
Density of states at the Fermi level (states/eV/f.u.): 3.2

Cell: 2.7708 4.0538 5.5304 Å, 90.00 90.00 90.00°
With the nearest neighbours (Å) after each atom.
Sites, in units of the cell vectors:
Cd 0.5000 0.5000 0.5000  2 Ru 2.77, 2 Cd 2.77, 8 Mo 2.89
Mo 0.0000 0.0000 0.7766  1 Mo 2.47, 4 Ru 2.75
Mo 0.0000 0.0000 0.2234  1 Mo 2.47, 4 Ru 2.75
Ru 0.5000 0.5000 0.0000  8 Mo 2.75, 2 Cd 2.77, 2 Ru 2.77



Density functional theory data (PBEsol) for CdSb2Mo after structural relaxation.

Properties
Raw total energy (eV per cell): -21.53
Density of states at the Fermi level (states/eV/f.u.): 2.4

Cell: 3.3109 3.3109 7.9390 Å, 90.00 90.00 90.00°
With the nearest neighbours (Å) after each atom.
Sites, in units of the cell vectors:
Cd 0.5000 0.5000 0.0000  4 Cd 3.31, 8 Sb 3.33
Mo 0.5000 0.5000 0.5000  8 Sb 2.84
Sb 0.0000 0.0000 0.7014  4 Mo 2.84
Sb 0.0000 0.0000 0.2986  4 Mo 2.84